PBE Rb2PuI5, relaxed; V = 44.49 A^3/atom; formation energy (no corrections) = -1.291 eV/atom; symmetry = Pnma; energy above the lowest structure with this stoichiometry = 0 meV/atom
1.0
15.0533 0.0000 0.0000
0.0000 10.0230 0.0000
0.0000 0.0000 9.4349
Rb Pu I
8 4 20
direct
0.1698 0.0061 0.0678
0.1698 0.4939 0.0678
0.3302 0.5061 0.5678
0.3302 0.9939 0.5678
0.6698 0.0061 0.4322
0.6698 0.4939 0.4322
0.8302 0.5061 0.9322
0.8302 0.9939 0.9322
0.0022 0.2500 0.5647
0.4978 0.7500 0.0647
0.5022 0.2500 0.9353
0.9978 0.7500 0.4353
0.0091 0.2500 0.9119
0.0721 0.5426 0.6647
0.0721 0.9574 0.6647
0.1805 0.2500 0.3883
0.2004 0.7500 0.3503
0.2996 0.2500 0.8503
0.3195 0.7500 0.8883
0.4279 0.0426 0.1647
0.4279 0.4574 0.1647
0.4909 0.7500 0.4119
0.5091 0.2500 0.5881
0.5721 0.5426 0.8353
0.5721 0.9574 0.8353
0.6805 0.2500 0.1117
0.7004 0.7500 0.1497
0.7996 0.2500 0.6497
0.8195 0.7500 0.6117
0.9279 0.0426 0.3353
0.9279 0.4574 0.3353
0.9909 0.7500 0.0881